Record 1
This record from Alexandria describes a relaxed structure of LaCr3W. The functional is PBE.

a b c (Å): 4.421 4.421 4.421
angles (deg): 90.00 90.00 90.00
Atoms (fractional coordinates):
La 0.000 0.000 0.000
Cr 0.000 0.000 0.500
Cr 0.000 0.500 0.000
Cr 0.500 0.000 0.000
W 0.500 0.500 0.500

Output
DOS at the Fermi energy ... 4.8 states/eV per cell
Energy relative to the lowest polymorph listed for this composition ... 634 kJ/mol of formula units
Symmetry ... Pm-3m, No. 221
Energy relative to the elements ... 11.311 eV per formula unit
Total magnetic moment ... 1.71 μB per cell

***

Record 2
This record from Alexandria describes a relaxed structure of Rb3TbSc2Se6. The functional is PBE.

a b c (Å): 7.132 7.132 8.298
angles (deg): 98.25 98.25 120.00
Atoms (fractional coordinates):
Rb 0.000 0.000 0.000
Rb 0.336 0.664 0.000
Rb 0.664 0.336 0.000
Tb 0.500 0.500 0.500
Sc 0.167 0.833 0.500
Sc 0.833 0.167 0.500
Se 0.090 0.437 0.310
Se 0.217 0.217 0.689
Se 0.437 0.090 0.310
Se 0.563 0.910 0.690
Se 0.783 0.783 0.311
Se 0.910 0.563 0.690

Output
DOS at the Fermi energy ... 0.0 states/eV per cell
E ... -5.06 eV/atom
Symmetry ... C2/m, No. 12
Total magnetic moment ... 0.00 μB per cell

***

Record 3
This record from Alexandria describes a relaxed structure of DySi2Ag2. The functional is PBE.

a b c (Å): 6.142 6.142 6.142
angles (deg): 140.46 140.46 57.15
Atoms (fractional coordinates):
Dy 0.000 0.000 0.000
Si 0.394 0.394 0.000
Si 0.606 0.606 0.000
Ag 0.250 0.750 0.500
Ag 0.750 0.250 0.500

Output
DOS at the Fermi energy ... 1.2 states/eV per cell
E ... -4.61 eV/atom
Symmetry ... I4/mmm, No. 139
Total magnetic moment ... 0.00 μB per cell

***

Record 4
This record from Alexandria describes a relaxed structure of MnTeRh2. The functional is PBE.

a b c (Å): 6.876 6.876 6.876
angles (deg): 132.71 132.71 69.12
Atoms (fractional coordinates):
Mn 0.000 0.000 0.000
Mn 0.750 0.250 0.500
Te 0.250 0.750 0.500
Te 0.500 0.500 0.000
Rh 0.075 0.625 0.950
Rh 0.375 0.325 0.450
Rh 0.675 0.125 0.050
Rh 0.875 0.925 0.550

Output
DOS at the Fermi energy ... 11.6 states/eV per cell
E ... -6.23 eV/atom
Symmetry ... I-42d, No. 122
Total magnetic moment ... 0.00 μB per cell